Record 1
This record from Alexandria via LeMat-Bulk describes a geometry-optimized Mg3ScZn8 structure. The functional is PBE.

Calculated values
For the excess energy over the best structure of this formula in the dataset, the calculation gives 8 meV/atom. As for the space group: No. 160. As for the energy of formation: -180 meV/atom.

a b c (Å): 5.236 5.236 9.020
angles (deg): 73.13 73.13 60.00
Fractional coordinates of all 12 atoms:
Mg (0.500, 0.500, 0.501)
Mg (0.374, 0.374, 0.877)
Mg (0.000, 0.000, 0.001)
Zn (0.437, 0.938, 0.188)
Zn (0.937, 0.937, 0.687)
Zn (0.688, 0.688, 0.937)
Zn (0.437, 0.437, 0.188)
Zn (0.439, 0.937, 0.687)
Zn (0.188, 0.188, 0.437)
Zn (0.938, 0.437, 0.188)
Zn (0.937, 0.439, 0.687)
Sc (0.876, 0.876, 0.373)

Record 2
This record from Alexandria via LeMat-Bulk describes a geometry-optimized MgRuRh2C structure. The functional is PBE.

Calculated values
As for the space group: No. 123. As for the energy of formation: -129 meV/atom.

a b c (Å): 4.070 4.070 4.070
angles (deg): 90.00 90.00 90.00
Fractional coordinates of all 5 atoms:
Rh (0.500, 0.000, 0.000)
Rh (0.000, 0.500, 0.000)
C (0.000, 0.000, 0.000)
Ru (0.000, 0.000, 0.500)
Mg (0.500, 0.500, 0.500)